1.
# meta-GGA SCAN KHgP3O9, PBEsol geometry
# - space group = P2_12_12_1 (19)
# - E_form (uncorrected) (eV/atom) = -2.15
# - E (eV/atom) = -13.850
data_KHgP3O9
_chemical_formula_sum 'K4 Hg4 P12 O36'
_symmetry_space_group_name_H-M 'P 1'
_symmetry_Int_Tables_number 1
_cell_length_a 5.638
_cell_length_b 11.205
_cell_length_c 12.486
_cell_angle_alpha 90.00
_cell_angle_beta 90.00
_cell_angle_gamma 90.00
loop_
_symmetry_equiv_pos_as_xyz
'x,y,z'
loop_
_atom_site_label
_atom_site_type_symbol
_atom_site_fract_x
_atom_site_fract_y
_atom_site_fract_z
_atom_site_occupancy
Hg1 Hg 0.904 0.479 0.863 1
Hg2 Hg 0.404 0.021 0.137 1
Hg3 Hg 0.596 0.521 0.363 1
Hg4 Hg 0.096 0.979 0.637 1
K1 K 0.906 0.117 0.922 1
K2 K 0.406 0.383 0.078 1
K3 K 0.594 0.883 0.422 1
K4 K 0.094 0.617 0.578 1
O1 O 0.612 0.281 0.581 1
O2 O 0.112 0.219 0.419 1
O3 O 0.888 0.719 0.081 1
O4 O 0.388 0.781 0.919 1
O5 O 0.418 0.408 0.721 1
O6 O 0.918 0.092 0.279 1
O7 O 0.082 0.592 0.221 1
O8 O 0.582 0.908 0.779 1
O9 O 0.517 0.498 0.544 1
O10 O 0.017 0.002 0.456 1
O11 O 0.983 0.502 0.044 1
O12 O 0.483 0.998 0.956 1
O13 O 0.853 0.445 0.678 1
O14 O 0.353 0.055 0.322 1
O15 O 0.647 0.555 0.178 1
O16 O 0.147 0.945 0.822 1
O17 O 0.430 0.187 0.746 1
O18 O 0.930 0.313 0.254 1
O19 O 0.070 0.813 0.246 1
O20 O 0.570 0.687 0.754 1
O21 O 0.645 0.317 0.880 1
O22 O 0.145 0.183 0.120 1
O23 O 0.855 0.683 0.380 1
O24 O 0.355 0.817 0.620 1
O25 O 0.189 0.314 0.873 1
O26 O 0.689 0.186 0.127 1
O27 O 0.311 0.686 0.373 1
O28 O 0.811 0.814 0.627 1
O29 O 0.847 0.128 0.689 1
O30 O 0.347 0.372 0.311 1
O31 O 0.653 0.872 0.189 1
O32 O 0.153 0.628 0.811 1
O33 O 0.475 0.066 0.578 1
O34 O 0.975 0.434 0.422 1
O35 O 0.025 0.934 0.078 1
O36 O 0.525 0.566 0.922 1
P1 P 0.617 0.416 0.627 1
P2 P 0.117 0.084 0.373 1
P3 P 0.883 0.584 0.127 1
P4 P 0.383 0.916 0.873 1
P5 P 0.420 0.309 0.815 1
P6 P 0.920 0.191 0.185 1
P7 P 0.080 0.691 0.315 1
P8 P 0.580 0.809 0.685 1
P9 P 0.603 0.156 0.646 1
P10 P 0.103 0.344 0.354 1
P11 P 0.897 0.844 0.146 1
P12 P 0.397 0.656 0.854 1



2.
# meta-GGA SCAN TmTl3, PBEsol geometry
# - space group = Pm-3m (221)
# - formation energy (eV/atom) = -0.27
# - E (eV/atom) = -67.499
data_TmTl3
_chemical_formula_sum 'Tm1 Tl3'
_symmetry_space_group_name_H-M 'P 1'
_symmetry_Int_Tables_number 1
_cell_length_a 4.636
_cell_length_b 4.636
_cell_length_c 4.636
_cell_angle_alpha 90.00
_cell_angle_beta 90.00
_cell_angle_gamma 90.00
loop_
_symmetry_equiv_pos_as_xyz
'x,y,z'
loop_
_atom_site_label
_atom_site_type_symbol
_atom_site_fract_x
_atom_site_fract_y
_atom_site_fract_z
_atom_site_occupancy
Tl1 Tl 0.500 0.500 0.000 1
Tl2 Tl 0.500 0.000 0.500 1
Tl3 Tl 0.000 0.500 0.500 1
Tm1 Tm 0.000 0.000 0.000 1



3.
# meta-GGA SCAN PrNiAs, PBEsol geometry
# - space group = P-6m2 (187)
# - formation energy (eV/atom) = -1.10
# - E (eV/atom) = -27.667
data_PrNiAs
_chemical_formula_sum 'Pr1 Ni1 As1'
_symmetry_space_group_name_H-M 'P 1'
_symmetry_Int_Tables_number 1
_cell_length_a 4.033
_cell_length_b 4.084
_cell_length_c 4.084
_cell_angle_alpha 120.00
_cell_angle_beta 90.00
_cell_angle_gamma 90.00
loop_
_symmetry_equiv_pos_as_xyz
'x,y,z'
loop_
_atom_site_label
_atom_site_type_symbol
_atom_site_fract_x
_atom_site_fract_y
_atom_site_fract_z
_atom_site_occupancy
Pr1 Pr 0.500 0.333 0.667 1
Ni1 Ni 0.000 0.667 0.333 1
As1 As 0.000 0.000 0.000 1



4.
# meta-GGA SCAN Cu3Mo4O12, PBEsol geometry
# - space group = Im-3 (204)
# - E_form (uncorrected) (eV/atom) = -1.69
# - E (eV/atom) = -15.366
data_Cu3Mo4O12
_chemical_formula_sum 'Cu3 Mo4 O12'
_symmetry_space_group_name_H-M 'P 1'
_symmetry_Int_Tables_number 1
_cell_length_a 6.406
_cell_length_b 6.406
_cell_length_c 6.406
_cell_angle_alpha 70.53
_cell_angle_beta 70.53
_cell_angle_gamma 109.47
loop_
_symmetry_equiv_pos_as_xyz
'x,y,z'
loop_
_atom_site_label
_atom_site_type_symbol
_atom_site_fract_x
_atom_site_fract_y
_atom_site_fract_z
_atom_site_occupancy
Cu1 Cu 0.000 0.500 0.500 1
Cu2 Cu 0.500 0.000 0.500 1
Cu3 Cu 0.500 0.500 0.000 1
Mo1 Mo 0.500 0.500 0.500 1
Mo2 Mo 0.000 0.500 0.000 1
Mo3 Mo 0.500 0.000 0.000 1
Mo4 Mo 0.000 0.000 0.500 1
O1 O 0.119 0.814 0.695 1
O2 O 0.881 0.186 0.305 1
O3 O 0.508 0.814 0.305 1
O4 O 0.186 0.695 0.119 1
O5 O 0.305 0.119 0.186 1
O6 O 0.305 0.492 0.814 1
O7 O 0.186 0.305 0.508 1
O8 O 0.695 0.881 0.814 1
O9 O 0.492 0.186 0.695 1
O10 O 0.814 0.305 0.881 1
O11 O 0.695 0.508 0.186 1
O12 O 0.814 0.695 0.492 1



5.
# meta-GGA SCAN BaSb2F2, PBEsol geometry
# - space group = P4/mbm (127)
# - E_form (uncorrected) (eV/atom) = -1.22
# - E (eV/atom) = -25.453
data_BaSb2F2
_chemical_formula_sum 'Ba2 Sb4 F4'
_symmetry_space_group_name_H-M 'P 1'
_symmetry_Int_Tables_number 1
_cell_length_a 4.553
_cell_length_b 8.530
_cell_length_c 8.530
_cell_angle_alpha 90.00
_cell_angle_beta 90.00
_cell_angle_gamma 90.00
loop_
_symmetry_equiv_pos_as_xyz
'x,y,z'
loop_
_atom_site_label
_atom_site_type_symbol
_atom_site_fract_x
_atom_site_fract_y
_atom_site_fract_z
_atom_site_occupancy
Sb1 Sb 0.000 0.384 0.884 1
Sb2 Sb 0.000 0.884 0.616 1
Sb3 Sb 0.000 0.616 0.116 1
Sb4 Sb 0.000 0.116 0.384 1
Ba1 Ba 0.000 0.000 0.000 1
Ba2 Ba 0.000 0.500 0.500 1
F1 F 0.500 0.368 0.868 1
F2 F 0.500 0.868 0.632 1
F3 F 0.500 0.632 0.132 1
F4 F 0.500 0.132 0.368 1



6.
# meta-GGA SCAN ZrFe2SnRu, PBEsol geometry
# - space group = P4/mmm (123)
# - formation energy (eV/atom) = 0.72
# - E (eV/atom) = -26.817
data_ZrFe2SnRu
_chemical_formula_sum 'Zr1 Fe2 Sn1 Ru1'
_symmetry_space_group_name_H-M 'P 1'
_symmetry_Int_Tables_number 1
_cell_length_a 4.493
_cell_length_b 4.493
_cell_length_c 4.860
_cell_angle_alpha 90.00
_cell_angle_beta 90.00
_cell_angle_gamma 90.00
loop_
_symmetry_equiv_pos_as_xyz
'x,y,z'
loop_
_atom_site_label
_atom_site_type_symbol
_atom_site_fract_x
_atom_site_fract_y
_atom_site_fract_z
_atom_site_occupancy
Ru1 Ru 0.000 0.000 0.000 1
Sn1 Sn 0.000 0.000 0.500 1
Zr1 Zr 0.500 0.500 0.500 1
Fe1 Fe 0.000 0.500 0.000 1
Fe2 Fe 0.500 0.000 0.000 1